# 1
# ScHg3Pt

An optimized crystal structure of ScHg3Pt (GGA-PBE, Alexandria).

The total energy comes out at -1.770 eV/atom. The total magnetization is 0.00 μB per formula unit. For the calculated formation energy, the calculation gives 0.885 eV per atom.

The structure in POSCAR format:
```
ScHg3Pt
1.0
5.3858 0.0000 0.0000
0.0000 5.3858 0.0000
0.0000 0.0000 5.3858
Sc Hg Pt
1 3 1
Direct
0.0000 0.0000 0.0000 Sc
0.0000 0.0000 0.5000 Hg
0.0000 0.5000 0.0000 Hg
0.5000 0.0000 0.0000 Hg
0.5000 0.5000 0.5000 Pt
```

# 2
# ScHg2Pt2

An optimized crystal structure of ScHg2Pt2 (GGA-PBE, Alexandria).

The total energy comes out at -4.210 eV/atom. The total magnetization is 0.00 μB per formula unit. For the calculated formation energy, the calculation gives -0.407 eV per atom.

The structure in POSCAR format:
```
ScHg2Pt2
1.0
6.9810 0.0000 0.0000
0.0000 6.9810 0.0000
0.0000 0.0000 4.0781
Sc Hg Pt
2 4 4
Direct
0.0000 0.0000 0.0000 Sc
0.5000 0.5000 0.0000 Sc
0.1672 0.3328 0.5000 Hg
0.3328 0.8328 0.5000 Hg
0.6672 0.1672 0.5000 Hg
0.8328 0.6672 0.5000 Hg
0.1369 0.6369 0.0000 Pt
0.3631 0.1369 0.0000 Pt
0.6369 0.8631 0.0000 Pt
0.8631 0.3631 0.0000 Pt
```

# 3
# ScHg2Pt

An optimized crystal structure of ScHg2Pt (GGA-PBE, Alexandria).

The total energy comes out at -3.652 eV/atom. The total magnetization is 0.00 μB per formula unit. For the calculated formation energy, the calculation gives -0.408 eV per atom.

The structure in POSCAR format:
```
ScHg2Pt
1.0
1.8893 1.0908 7.6125
-1.8893 1.0908 7.6125
0.0000 -2.1816 7.6125
Sc Hg Pt
1 2 1
Direct
0.0000 0.0000 0.0000 Sc
0.5230 0.5230 0.5230 Hg
0.7619 0.7619 0.7619 Hg
0.2711 0.2711 0.2711 Pt
```

# 4
# ScHg3Pt

An optimized crystal structure of ScHg3Pt (GGA-PBE, Alexandria).

The total energy comes out at -2.395 eV/atom. The total magnetization is 0.70 μB per formula unit. For the calculated formation energy, the calculation gives 0.260 eV per atom.

The structure in POSCAR format:
```
ScHg3Pt
1.0
5.1813 0.0000 0.0000
0.0000 5.1813 0.0000
0.0000 0.0000 5.1813
Sc Hg Pt
1 3 1
Direct
0.0000 0.0000 0.0000 Sc
0.0000 0.5000 0.5000 Hg
0.5000 0.0000 0.5000 Hg
0.5000 0.5000 0.0000 Hg
0.5000 0.5000 0.5000 Pt
```

# 5
# ScHgPt

An optimized crystal structure of ScHgPt (GGA-PBE, Alexandria).

The total energy comes out at -4.744 eV/atom. The total magnetization is 0.00 μB per formula unit. For the calculated formation energy, the calculation gives -0.519 eV per atom.

The structure in POSCAR format:
```
ScHgPt
1.0
3.7104 0.0000 0.0000
-1.8552 3.2133 0.0000
0.0000 0.0000 5.6058
Sc Hg Pt
1 1 1
Direct
0.0000 0.0000 0.0000 Sc
0.6667 0.3333 0.3922 Hg
0.3333 0.6667 0.7348 Pt
```

# 6
# ScHgPt

An optimized crystal structure of ScHgPt (GGA-PBE, Alexandria).

The total energy comes out at -4.989 eV/atom. The total magnetization is 0.00 μB per formula unit. For the calculated formation energy, the calculation gives -0.764 eV per atom.

The structure in POSCAR format:
```
ScHgPt
1.0
1.7004 -8.8238 0.0000
1.7004 8.8238 0.0000
0.0000 0.0000 4.0567
Sc Hg Pt
2 2 2
Direct
0.0943 0.9057 0.7500 Sc
0.9057 0.0943 0.2500 Sc
0.2920 0.7080 0.7500 Hg
0.7080 0.2920 0.2500 Hg
0.4479 0.5521 0.7500 Pt
0.5521 0.4479 0.2500 Pt
```

# 7
# ScHgPt2

An optimized crystal structure of ScHgPt2 (GGA-PBE, Alexandria).

The total energy comes out at -5.356 eV/atom. The total magnetization is 0.00 μB per formula unit. For the calculated formation energy, the calculation gives -0.677 eV per atom.

The structure in POSCAR format:
```
ScHgPt2
1.0
4.2131 0.0000 0.0000
0.0000 4.2131 0.0000
0.0000 0.0000 3.9942
Sc Hg Pt
1 1 2
Direct
0.0000 0.0000 0.0000 Sc
0.5000 0.5000 0.0000 Hg
0.0000 0.5000 0.5000 Pt
0.5000 0.0000 0.5000 Pt
```

# 8
# ScHg4Pt

An optimized crystal structure of ScHg4Pt (GGA-PBE, Alexandria).

The total energy comes out at -2.104 eV/atom. The total magnetization is 0.00 μB per formula unit. For the calculated formation energy, the calculation gives 0.160 eV per atom.

The structure in POSCAR format:
```
ScHg4Pt
1.0
0.0000 4.0255 4.0255
4.0255 0.0000 4.0255
4.0255 4.0255 0.0000
Sc Hg Pt
1 4 1
Direct
0.0000 0.0000 0.0000 Sc
0.1253 0.6249 0.6249 Hg
0.6249 0.1253 0.6249 Hg
0.6249 0.6249 0.1253 Hg
0.6249 0.6249 0.6249 Hg
0.2500 0.2500 0.2500 Pt
```

# 9
# Sc2HgPt2

An optimized crystal structure of Sc2HgPt2 (GGA-PBE, Alexandria).

The total energy comes out at -5.744 eV/atom. The total magnetization is 0.00 μB per formula unit. For the calculated formation energy, the calculation gives -0.735 eV per atom.

The structure in POSCAR format:
```
Sc2HgPt2
1.0
-1.9440 1.9440 6.9917
1.9440 -1.9440 6.9917
1.9440 1.9440 -6.9917
Sc Hg Pt
2 1 2
Direct
0.1173 0.1173 0.0000 Sc
0.8827 0.8827 0.0000 Sc
0.5000 0.5000 0.0000 Hg
0.2500 0.7500 0.5000 Pt
0.7500 0.2500 0.5000 Pt
```

# 10
# Sc3Hg3Pt2

An optimized crystal structure of Sc3Hg3Pt2 (GGA-PBE, Alexandria).

The total energy comes out at -4.770 eV/atom. The total magnetization is 0.00 μB per formula unit. For the calculated formation energy, the calculation gives -0.772 eV per atom.

The structure in POSCAR format:
```
Sc3Hg3Pt2
1.0
7.5084 0.0000 0.0000
-3.7542 6.5025 0.0000
0.0000 0.0000 3.3223
Sc Hg Pt
3 3 2
Direct
0.0000 0.5774 0.0000 Sc
0.4226 0.4226 0.0000 Sc
0.5774 0.0000 0.0000 Sc
0.0000 0.2299 0.5000 Hg
0.2299 0.0000 0.5000 Hg
0.7701 0.7701 0.5000 Hg
0.3333 0.6667 0.5000 Pt
0.6667 0.3333 0.5000 Pt
```

# 11
# ScHg2Pt

An optimized crystal structure of ScHg2Pt (GGA-PBE, Alexandria).

The total energy comes out at -3.735 eV/atom. The total magnetization is 0.00 μB per formula unit. For the calculated formation energy, the calculation gives -0.491 eV per atom.

The structure in POSCAR format:
```
ScHg2Pt
1.0
3.4477 0.0000 0.0000
0.0000 3.4392 0.0000
-0.0235 0.0000 7.0301
Sc Hg Pt
1 2 1
Direct
0.0000 0.0000 0.0000 Sc
0.5002 0.5000 0.2765 Hg
0.9992 0.0000 0.5628 Hg
0.4989 0.5000 0.8244 Pt
```

# 12
# Sc4HgPt2

An optimized crystal structure of Sc4HgPt2 (GGA-PBE, Alexandria).

The total energy comes out at -6.235 eV/atom. The total magnetization is 0.00 μB per formula unit. For the calculated formation energy, the calculation gives -0.848 eV per atom.

The structure in POSCAR format:
```
Sc4HgPt2
1.0
2.3768 -4.1178 0.0000
2.3768 4.1178 0.0000
0.0000 0.0000 14.4916
Sc Hg Pt
8 2 4
Direct
0.0000 0.0000 0.0000 Sc
0.0000 0.0000 0.5000 Sc
0.3330 0.6670 0.6299 Sc
0.3330 0.6670 0.8701 Sc
0.3338 0.6662 0.2500 Sc
0.6662 0.3338 0.7500 Sc
0.6670 0.3330 0.1299 Sc
0.6670 0.3330 0.3701 Sc
0.0006 0.9994 0.2500 Hg
0.9994 0.0006 0.7500 Hg
0.3335 0.6665 0.0594 Pt
0.3335 0.6665 0.4406 Pt
0.6665 0.3335 0.5594 Pt
0.6665 0.3335 0.9406 Pt
```

# 13
# Sc2Hg2Pt

An optimized crystal structure of Sc2Hg2Pt (GGA-PBE, Alexandria).

The total energy comes out at -4.197 eV/atom. The total magnetization is 0.00 μB per formula unit. For the calculated formation energy, the calculation gives -0.336 eV per atom.

The structure in POSCAR format:
```
Sc2Hg2Pt
1.0
7.0946 0.0000 0.0000
0.0000 7.0946 0.0000
0.0000 0.0000 4.4966
Sc Hg Pt
4 4 2
Direct
0.1629 0.3371 0.0000 Sc
0.3371 0.8371 0.0000 Sc
0.6629 0.1629 0.0000 Sc
0.8371 0.6629 0.0000 Sc
0.1480 0.6480 0.5000 Hg
0.3520 0.1480 0.5000 Hg
0.6480 0.8520 0.5000 Hg
0.8520 0.3520 0.5000 Hg
0.0000 0.0000 0.0000 Pt
0.5000 0.5000 0.0000 Pt
```

# 14
# Sc2Hg2Pt

An optimized crystal structure of Sc2Hg2Pt (GGA-PBE, Alexandria).

The total energy comes out at -4.264 eV/atom. The total magnetization is 0.00 μB per formula unit. For the calculated formation energy, the calculation gives -0.402 eV per atom.

The structure in POSCAR format:
```
Sc2Hg2Pt
1.0
7.4117 0.0000 0.0000
0.0000 7.4117 0.0000
0.0000 0.0000 3.7836
Sc Hg Pt
4 4 2
Direct
0.1700 0.3300 0.0000 Sc
0.3300 0.8300 0.0000 Sc
0.6700 0.1700 0.0000 Sc
0.8300 0.6700 0.0000 Sc
0.1356 0.6356 0.5000 Hg
0.3644 0.1356 0.5000 Hg
0.6356 0.8644 0.5000 Hg
0.8644 0.3644 0.5000 Hg
0.0000 0.0000 0.5000 Pt
0.5000 0.5000 0.5000 Pt
```

# 15
# SmScHgPt

An optimized crystal structure of SmScHgPt (GGA-PBE, Alexandria).

The total energy comes out at -5.072 eV/atom. The total magnetization is 0.00 μB per formula unit. For the calculated formation energy, the calculation gives -0.724 eV per atom.

The structure in POSCAR format:
```
SmScHgPt
1.0
0.0000 3.5528 3.5528
3.5528 0.0000 3.5528
3.5528 3.5528 0.0000
Sm Sc Hg Pt
1 1 1 1
Direct
0.0000 0.0000 0.0000 Sm
0.5000 0.5000 0.5000 Sc
0.2500 0.2500 0.2500 Hg
0.7500 0.7500 0.7500 Pt
```

# 16
# TbScHgPt

An optimized crystal structure of TbScHgPt (GGA-PBE, Alexandria).

The total energy comes out at -5.099 eV/atom. The total magnetization is 0.00 μB per formula unit. For the calculated formation energy, the calculation gives -0.773 eV per atom.

The structure in POSCAR format:
```
TbScHgPt
1.0
0.0000 3.5187 3.5187
3.5187 0.0000 3.5187
3.5187 3.5187 0.0000
Tb Sc Hg Pt
1 1 1 1
Direct
0.0000 0.0000 0.0000 Tb
0.5000 0.5000 0.5000 Sc
0.7500 0.7500 0.7500 Hg
0.2500 0.2500 0.2500 Pt
```

# 17
# ThScHgPt

An optimized crystal structure of ThScHgPt (GGA-PBE, Alexandria).

The total energy comes out at -5.636 eV/atom. The total magnetization is 0.00 μB per formula unit. For the calculated formation energy, the calculation gives -0.612 eV per atom.

The structure in POSCAR format:
```
ThScHgPt
1.0
0.0000 3.5994 3.5994
3.5994 0.0000 3.5994
3.5994 3.5994 0.0000
Th Sc Hg Pt
1 1 1 1
Direct
0.0000 0.0000 0.0000 Th
0.5000 0.5000 0.5000 Sc
0.7500 0.7500 0.7500 Hg
0.2500 0.2500 0.2500 Pt
```

# 18
# Sc4Tl2HgPt

An optimized crystal structure of Sc4Tl2HgPt (GGA-PBE, Alexandria).

The total energy comes out at -5.072 eV/atom. The total magnetization is 0.00 μB per formula unit. For the calculated formation energy, the calculation gives -0.522 eV per atom.

The structure in POSCAR format:
```
Sc4Tl2HgPt
1.0
2.4865 1.4356 8.0285
-2.4865 1.4356 8.0285
0.0000 -2.8712 8.0285
Sc Tl Hg Pt
4 2 1 1
Direct
0.1170 0.1170 0.1170 Sc
0.3699 0.3699 0.3699 Sc
0.6301 0.6301 0.6301 Sc
0.8830 0.8830 0.8830 Sc
0.2454 0.2454 0.2454 Tl
0.7546 0.7546 0.7546 Tl
0.5000 0.5000 0.5000 Hg
0.0000 0.0000 0.0000 Pt
```

# 19
# TmScHgPt

An optimized crystal structure of TmScHgPt (GGA-PBE, Alexandria).

The total energy comes out at -5.099 eV/atom. The total magnetization is 0.00 μB per formula unit. For the calculated formation energy, the calculation gives -0.813 eV per atom.

The structure in POSCAR format:
```
TmScHgPt
1.0
0.0000 3.4831 3.4831
3.4831 0.0000 3.4831
3.4831 3.4831 0.0000
Tm Sc Hg Pt
1 1 1 1
Direct
0.0000 0.0000 0.0000 Tm
0.5000 0.5000 0.5000 Sc
0.7500 0.7500 0.7500 Hg
0.2500 0.2500 0.2500 Pt
```

# 20
# TmScHgPt

An optimized crystal structure of TmScHgPt (GGA-PBE, Alexandria).

The total energy comes out at -5.147 eV/atom. The total magnetization is 0.00 μB per formula unit. For the calculated formation energy, the calculation gives -0.861 eV per atom.

The structure in POSCAR format:
```
TmScHgPt
1.0
3.4277 0.0000 0.0000
0.0000 3.4277 0.0000
0.0000 0.0000 7.2423
Tm Sc Hg Pt
1 1 1 1
Direct
0.0000 0.0000 0.0000 Tm
0.0000 0.0000 0.5526 Sc
0.5000 0.5000 0.2924 Hg
0.5000 0.5000 0.7582 Pt
```

# 21
# YScHg2Pt

An optimized crystal structure of YScHg2Pt (GGA-PBE, Alexandria).

The total energy comes out at -3.981 eV/atom. The total magnetization is 0.30 μB per formula unit. For the calculated formation energy, the calculation gives -0.093 eV per atom.

The structure in POSCAR format:
```
YScHg2Pt
1.0
5.2605 0.0000 0.0000
0.0000 5.2605 0.0000
0.0000 0.0000 4.8641
Y Sc Hg Pt
1 1 2 1
Direct
0.0000 0.0000 0.0000 Y
0.5000 0.5000 0.0000 Sc
0.0000 0.5000 0.5000 Hg
0.5000 0.0000 0.5000 Hg
0.5000 0.5000 0.5000 Pt
```

# 22
# HgPtSe

An optimized crystal structure of HgPtSe (GGA-PBE, Alexandria).

The total energy comes out at -3.019 eV/atom. The total magnetization is 0.00 μB per formula unit. The value obtained for the formation energy from raw total energies is 24.8 kJ per mole of atoms.

The structure in POSCAR format:
```
HgPtSe
1.0
4.7248 0.0000 0.0000
-2.3624 4.0918 0.0000
0.0000 0.0000 2.9758
Hg Pt Se
1 1 1
Direct
0.0000 0.0000 0.0000 Hg
0.3333 0.6667 0.5000 Pt
0.6667 0.3333 0.5000 Se
```

# 23
# Hg2PtSe2

An optimized crystal structure of Hg2PtSe2 (GGA-PBE, Alexandria).

The total energy comes out at -2.610 eV/atom. The total magnetization is 0.00 μB per formula unit. The value obtained for the formation energy from raw total energies is 10.9 kJ per mole of atoms.

The structure in POSCAR format:
```
Hg2PtSe2
1.0
7.1714 0.0000 0.0000
0.0000 7.1714 0.0000
0.0000 0.0000 4.5560
Hg Pt Se
4 2 4
Direct
0.1389 0.3611 0.0000 Hg
0.3611 0.8611 0.0000 Hg
0.6389 0.1389 0.0000 Hg
0.8611 0.6389 0.0000 Hg
0.0000 0.0000 0.5000 Pt
0.5000 0.5000 0.5000 Pt
0.2021 0.7021 0.5000 Se
0.2979 0.2021 0.5000 Se
0.7021 0.7979 0.5000 Se
0.7979 0.2979 0.5000 Se
```

# 24
# HgPt2Se3

An optimized crystal structure of HgPt2Se3 (GGA-PBE, Alexandria).

The total energy comes out at -4.170 eV/atom. The total magnetization is 0.00 μB per formula unit. The value obtained for the formation energy from raw total energies is -35.1 kJ per mole of atoms.

The structure in POSCAR format:
```
HgPt2Se3
1.0
7.4967 0.0000 0.0000
-3.7484 6.4923 0.0000
0.0000 0.0000 5.4717
Hg Pt Se
2 4 6
Direct
0.3333 0.6667 0.1509 Hg
0.6667 0.3333 0.8491 Hg
0.0000 0.0000 0.5000 Pt
0.0000 0.5000 0.5000 Pt
0.5000 0.0000 0.5000 Pt
0.5000 0.5000 0.5000 Pt
0.1723 0.3446 0.7340 Se
0.1723 0.8277 0.7340 Se
0.3446 0.1723 0.2660 Se
0.6554 0.8277 0.7340 Se
0.8277 0.1723 0.2660 Se
0.8277 0.6554 0.2660 Se
```

# 25
# HgPt2Se3

An optimized crystal structure of HgPt2Se3 (GGA-PBE, Alexandria).

The total energy comes out at -4.103 eV/atom. The total magnetization is 0.00 μB per formula unit. The value obtained for the formation energy from raw total energies is -28.6 kJ per mole of atoms.

The structure in POSCAR format:
```
HgPt2Se3
1.0
3.7379 2.1581 5.8238
-3.7379 2.1581 5.8238
0.0000 -4.3162 5.8238
Hg Pt Se
2 4 6
Direct
0.2245 0.2245 0.2245 Hg
0.7755 0.7755 0.7755 Hg
0.0000 0.0000 0.0000 Pt
0.0000 0.5000 0.5000 Pt
0.5000 0.0000 0.5000 Pt
0.5000 0.5000 0.0000 Pt
0.2417 0.2417 0.7376 Se
0.2417 0.7376 0.2417 Se
0.2624 0.7583 0.7583 Se
0.7376 0.2417 0.2417 Se
0.7583 0.2624 0.7583 Se
0.7583 0.7583 0.2624 Se
```

# 26
# HgPtSe

An optimized crystal structure of HgPtSe (GGA-PBE, Alexandria).

The total energy comes out at -3.502 eV/atom. The total magnetization is 0.00 μB per formula unit. The value obtained for the formation energy from raw total energies is -21.9 kJ per mole of atoms.

The structure in POSCAR format:
```
HgPtSe
1.0
6.2554 -1.8827 0.0000
6.2554 1.8827 0.0000
-2.6210 0.0000 5.9517
Hg Pt Se
2 2 2
Direct
0.1581 0.1581 0.4694 Hg
0.8419 0.8419 0.5306 Hg
0.0000 0.0000 0.0000 Pt
0.5000 0.5000 0.5000 Pt
0.3943 0.3943 0.0877 Se
0.6057 0.6057 0.9123 Se
```

# 27
# HgPtSe

An optimized crystal structure of HgPtSe (GGA-PBE, Alexandria).

The total energy comes out at -3.171 eV/atom. The total magnetization is 0.00 μB per formula unit. The value obtained for the formation energy from raw total energies is 10.1 kJ per mole of atoms.

The structure in POSCAR format:
```
HgPtSe
1.0
0.0000 3.2095 3.2095
3.2095 0.0000 3.2095
3.2095 3.2095 0.0000
Hg Pt Se
1 1 1
Direct
0.0000 0.0000 0.0000 Hg
0.7500 0.7500 0.7500 Pt
0.5000 0.5000 0.5000 Se
```